Entry 1:
VASP calculation (SCAN) on Li4VCr3O8 at its PBEsol-relaxed geometry.

The space group is P2/m (No. 10) and the conventional cell measures 5.024, 5.831 and 5.047 Å, with angles of 90.00, 109.59 and 90.00 degrees. The distinct sites, in fractional coordinates, are Li at (0.000, 0.000, 0.000), Li at (0.000, 0.248, 0.500), Li at (0.000, 0.500, 0.000), V at (0.500, 0.500, 0.500), Cr at (0.500, 0.000, 0.500), Cr at (0.500, 0.250, 0.000), O at (0.272, 0.500, 0.761), O at (0.274, 0.248, 0.256) and O at (0.276, 0.000, 0.758).


Entry 2:
VASP calculation (SCAN) on MgSi2Ir at its PBEsol-relaxed geometry.

The space group is P4/mmm (No. 123) and the conventional cell measures 2.867, 2.867 and 7.309 Å, with angles of 90.00, 90.00 and 90.00 degrees. The distinct sites, in fractional coordinates, are Mg at (0.000, 0.000, 0.000), Si at (0.500, 0.500, 0.283) and Ir at (0.000, 0.000, 0.500).


Number 1: raw formation energy -2.526 eV per atom. Number 2: raw formation energy -0.206 eV per atom.